(1)
This record from the Alexandria database describes an optimized crystal structure of YNbNO2. The functional is GGA-PBE.

The structure in CIF format:
```
data_YNbNO2
_symmetry_space_group_name_H-M 'P 4/m m m'
_symmetry_Int_Tables_number 123
_symmetry_space_group_name_Hall '-P 4 2'
_cell_length_a 3.9930
_cell_length_b 3.9930
_cell_length_c 4.1562
_cell_angle_alpha 90.00
_cell_angle_beta 90.00
_cell_angle_gamma 90.00
loop_
_atom_site_label
_atom_site_type_symbol
_atom_site_fract_x
_atom_site_fract_y
_atom_site_fract_z
Y1 Y 0.0000 0.0000 0.0000
Nb1 Nb 0.5000 0.5000 0.5000
N1 N 0.5000 0.5000 0.0000
O1 O 0.0000 0.5000 0.5000
```

## Properties
magnetic moment: 0.000 μB/f.u.
crystal system: tetragonal
raw formation energy: -1.98 eV per atom
DOS at the Fermi energy: 1.784 states/eV per cell


(2)
This record from the Alexandria database describes an optimized crystal structure of YNbN2O. The functional is GGA-PBE.

The structure in CIF format:
```
data_YNbN2O
_symmetry_space_group_name_H-M 'P 4/m m m'
_symmetry_Int_Tables_number 123
_symmetry_space_group_name_Hall '-P 4 2'
_cell_length_a 4.2275
_cell_length_b 4.2275
_cell_length_c 3.9476
_cell_angle_alpha 90.00
_cell_angle_beta 90.00
_cell_angle_gamma 90.00
loop_
_atom_site_label
_atom_site_type_symbol
_atom_site_fract_x
_atom_site_fract_y
_atom_site_fract_z
Y1 Y 0.0000 0.0000 0.0000
Nb1 Nb 0.5000 0.5000 0.0000
N1 N 0.0000 0.5000 0.5000
O1 O 0.0000 0.0000 0.5000
```

## Properties
magnetic moment: 0.002 μB/f.u.
crystal system: tetragonal
raw formation energy: 1.07 eV per atom
DOS at the Fermi energy: 4.119 states/eV per cell


> Look up the DOS at the Fermi energy of the first one.

1.784 states/eV per cell


Copy entry 1 word for word.
This record from the Alexandria database describes an optimized crystal structure of YNbNO2. The functional is GGA-PBE.

The structure in CIF format:
```
data_YNbNO2
_symmetry_space_group_name_H-M 'P 4/m m m'
_symmetry_Int_Tables_number 123
_symmetry_space_group_name_Hall '-P 4 2'
_cell_length_a 3.9930
_cell_length_b 3.9930
_cell_length_c 4.1562
_cell_angle_alpha 90.00
_cell_angle_beta 90.00
_cell_angle_gamma 90.00
loop_
_atom_site_label
_atom_site_type_symbol
_atom_site_fract_x
_atom_site_fract_y
_atom_site_fract_z
Y1 Y 0.0000 0.0000 0.0000
Nb1 Nb 0.5000 0.5000 0.5000
N1 N 0.5000 0.5000 0.0000
O1 O 0.0000 0.5000 0.5000
```

## Properties
magnetic moment: 0.000 μB/f.u.
crystal system: tetragonal
raw formation energy: -1.98 eV per atom
DOS at the Fermi energy: 1.784 states/eV per cell


> Which of these has the highest raw formation energy?

YNbN2O


> Which formula does entry 1 have?

YNbNO2